Below is a relaxed structure of La2GdAl3Cu2Ni, with properties calculated at the PBE level.

## Properties
E in eV per atom: -4.747
M_tot in μB/f.u.: 0.00

abc: 4.137 7.184 7.184
angles: 121.26 90.00 90.00
Element x y z (fractional)
La1 0.000 0.207 0.793
La2 0.000 0.793 0.207
Gd1 0.000 0.619 0.619
Al1 0.500 0.214 0.433
Al2 0.500 0.433 0.214
Al3 0.500 0.981 0.981
Cu1 0.500 0.545 0.865
Cu2 0.500 0.865 0.545
Ni1 0.000 0.212 0.212

---

Below is a relaxed structure of SrEr, with properties calculated at the PBE level.

## Properties
Offset from the most stable computed form in meV/atom: 1517
M_tot in μB/f.u.: 1.48

abc: 5.877 5.877 5.877
angles: 60.00 60.00 60.00
Element x y z (fractional)
Sr1 0.000 0.000 0.000
Er1 0.250 0.250 0.250

---

Below is a relaxed structure of LaTlPdPt, with properties calculated at the PBE level.

## Properties
Offset from the most stable computed form in meV/atom: 0
M_tot in μB/f.u.: 0.00

abc: 4.757 4.757 9.278
angles: 90.00 90.00 120.00
Element x y z (fractional)
La1 0.333 0.667 0.256
La2 0.667 0.333 0.744
Tl1 0.000 0.000 0.000
Tl2 0.000 0.000 0.500
Pd1 0.333 0.667 0.919
Pd2 0.667 0.333 0.081
Pt1 0.333 0.667 0.599
Pt2 0.667 0.333 0.401

---

Below is a relaxed structure of NbCdPO, with properties calculated at the PBE level.

## Properties
Offset from the most stable computed form in meV/atom: 4
M_tot in μB/f.u.: 0.01

abc: 3.397 6.854 5.835
angles: 90.00 90.00 90.00
Element x y z (fractional)
Nb1 0.000 0.009 0.000
Nb2 0.000 0.991 0.500
Cd1 0.500 0.436 0.354
Cd2 0.500 0.564 0.854
P1 0.500 0.192 0.742
P2 0.500 0.808 0.242
O1 0.000 0.221 0.251
O2 0.000 0.779 0.751

---

Below is a relaxed structure of Li4Ag2BiPb, with properties calculated at the PBE level.

## Properties
E in eV per atom: -2.948

abc: 4.737 4.737 6.742
angles: 90.00 90.00 90.00
Element x y z (fractional)
Li1 0.000 0.000 0.000
Li2 0.000 0.500 0.246
Li3 0.500 0.000 0.754
Li4 0.500 0.500 0.500
Ag1 0.000 0.500 0.757
Ag2 0.500 0.000 0.243
Bi1 0.000 0.000 0.500
Pb1 0.500 0.500 0.000

---

Below is a relaxed structure of GdErAl2Ni4, with properties calculated at the PBE level.

## Properties
E in eV per atom: -5.461
M_tot in μB/f.u.: 0.00

abc: 4.135 4.135 8.925
angles: 90.00 90.00 120.00
Element x y z (fractional)
Gd1 0.000 0.000 0.000
Er1 0.333 0.667 0.500
Al1 0.667 0.333 0.255
Al2 0.667 0.333 0.745
Ni1 0.000 0.000 0.317
Ni2 0.000 0.000 0.683
Ni3 0.333 0.667 0.192
Ni4 0.333 0.667 0.808

---

Below is a relaxed structure of GaCoCuIr, with properties calculated at the PBE level.

## Properties
Offset from the most stable computed form in meV/atom: 0
M_tot in μB/f.u.: 1.12

abc: 4.172 4.172 4.172
angles: 60.00 60.00 60.00
Element x y z (fractional)
Ga1 0.000 0.000 0.000
Co1 0.250 0.250 0.250
Cu1 0.500 0.500 0.500
Ir1 0.750 0.750 0.750

---

Below is a relaxed structure of Ta4GaSnC2, with properties calculated at the PBE level.

## Properties
E in eV per atom: -9.533
M_tot in μB/f.u.: 0.01

abc: 3.185 3.185 13.765
angles: 90.00 90.00 120.00
Element x y z (fractional)
Ta1 0.000 0.000 0.156
Ta2 0.000 0.000 0.844
Ta3 0.667 0.333 0.329
Ta4 0.667 0.333 0.671
Ga1 0.667 0.333 0.000
Sn1 0.000 0.000 0.500
C1 0.333 0.667 0.243
C2 0.333 0.667 0.757

---

Below is a relaxed structure of LiNdFe, with properties calculated at the PBE level.

## Properties
Offset from the most stable computed form in meV/atom: 0
M_tot in μB/f.u.: 1.89

abc: 4.540 4.540 4.540
angles: 60.00 60.00 60.00
Element x y z (fractional)
Li1 0.000 0.000 0.000
Nd1 0.500 0.500 0.500
Fe1 0.250 0.250 0.250

---

Below is a relaxed structure of LiMgTlCu, with properties calculated at the PBE level.

## Properties
Offset from the most stable computed form in meV/atom: 69

abc: 4.634 4.634 4.634
angles: 60.00 60.00 60.00
Element x y z (fractional)
Li1 0.000 0.000 0.000
Mg1 0.250 0.250 0.250
Tl1 0.500 0.500 0.500
Cu1 0.750 0.750 0.750

---

Below is a relaxed structure of TmSi2NiGe, with properties calculated at the PBE level.

## Properties
Offset from the most stable computed form in meV/atom: 0
M_tot in μB/f.u.: 0.00

abc: 10.840 10.840 3.948
angles: 90.00 90.00 158.98
Element x y z (fractional)
Tm1 0.165 0.835 0.000
Tm2 0.835 0.165 0.000
Si1 0.055 0.945 0.500
Si2 0.445 0.555 0.000
Si3 0.555 0.445 0.000
Si4 0.945 0.055 0.500
Ni1 0.393 0.607 0.500
Ni2 0.607 0.393 0.500
Ge1 0.285 0.715 0.500
Ge2 0.715 0.285 0.500

---

Below is a relaxed structure of Tb2SnPd, with properties calculated at the PBE level.

## Properties
E in eV per atom: -5.390
M_tot in μB/f.u.: 0.00

abc: 4.551 5.954 5.954
angles: 38.51 90.00 90.00
Element x y z (fractional)
Tb1 0.000 0.000 0.000
Tb2 0.500 0.288 0.288
Sn1 0.500 0.567 0.567
Pd1 0.000 0.731 0.731